Density functional theory data (PBE) for Tb3CeY6Tm2 after structural relaxation.

Lattice parameters (Å, degrees): 6.157 6.157 11.787 94.99 94.99 119.97
Fractional coordinates of all 12 atoms:
Tb  0.000  0.000  0.000
Tb  0.332  0.668  0.000
Tb  0.668  0.332  0.000
Ce  0.500  0.500  0.500
Y  0.085  0.417  0.251
Y  0.251  0.251  0.749
Y  0.417  0.085  0.251
Y  0.583  0.915  0.749
Y  0.749  0.749  0.251
Y  0.915  0.583  0.749
Tm  0.167  0.833  0.500
Tm  0.833  0.167  0.500

The space group is C2/m, No. 12. Its calculated volume is 381 Å³/cell. For the formation enthalpy at 0 K, the calculation gives 39 meV per atom. The density of states at the Fermi level comes out at 19.91 states/eV/f.u.